Entry from the Open Quantum Materials Database: ThZrPt after structural relaxation (GGA-PBE).

abc: 6.848 6.848 6.848
angles: 90.00 90.00 90.00
Space group F-43m (No. 216)
One atom of each set of equivalent atoms:
Th (0.000, 0.000, 0.000) [4 per cell]
Zr (0.000, 0.000, 0.500) [4 per cell]
Pt (0.250, 0.250, 0.250) [4 per cell]

## Properties
Magnetization in μB/f.u.: 0.0
Formation energy in meV/atom: -420